Here is a geometry-optimized VFeN2O structure from Alexandria. Energies are from GGA+U.

Summary:
Size of the total moment, μB/f.u.: 4.28
E, eV/atom: -6.78

CIF file:
```
data_VFeN2O
_cell_length_a 3.808
_cell_length_b 3.808
_cell_length_c 3.775
_cell_angle_alpha 90.00
_cell_angle_beta 90.00
_cell_angle_gamma 90.00
_space_group_name_H-M_alt 'P 4/m m m'
_space_group_IT_number 123
_space_group_name_Hall '-P 4 2'
loop_
_atom_site_label
_atom_site_fract_x
_atom_site_fract_y
_atom_site_fract_z
_atom_site_occupancy
V1 0.000 0.000 0.000 1
Fe1 0.500 0.500 0.500 1
N1 0.000 0.500 0.000 1
O1 0.000 0.000 0.500 1
```

Here is a geometry-optimized VFeN2O structure from Alexandria. Energies are from GGA+U.

Summary:
Size of the total moment, μB/f.u.: 2.28
E, eV/atom: -6.31

CIF file:
```
data_VFeN2O
_cell_length_a 3.774
_cell_length_b 3.774
_cell_length_c 3.716
_cell_angle_alpha 90.00
_cell_angle_beta 90.00
_cell_angle_gamma 90.00
_space_group_name_H-M_alt 'P 4/m m m'
_space_group_IT_number 123
_space_group_name_Hall '-P 4 2'
loop_
_atom_site_label
_atom_site_fract_x
_atom_site_fract_y
_atom_site_fract_z
_atom_site_occupancy
V1 0.000 0.000 0.000 1
Fe1 0.500 0.500 0.500 1
N1 0.000 0.500 0.500 1
O1 0.500 0.500 0.000 1
```

Here is a geometry-optimized YFeNO2 structure from Alexandria. Energies are from GGA+U.

Summary:
Size of the total moment, μB/f.u.: 4.02
E, eV/atom: -7.46

CIF file:
```
data_YFeNO2
_cell_length_a 3.820
_cell_length_b 3.820
_cell_length_c 3.868
_cell_angle_alpha 90.00
_cell_angle_beta 90.00
_cell_angle_gamma 90.00
_space_group_name_H-M_alt 'P 4/m m m'
_space_group_IT_number 123
_space_group_name_Hall '-P 4 2'
loop_
_atom_site_label
_atom_site_fract_x
_atom_site_fract_y
_atom_site_fract_z
_atom_site_occupancy
Y1 0.000 0.000 0.000 1
Fe1 0.500 0.500 0.500 1
N1 0.500 0.500 0.000 1
O1 0.000 0.500 0.500 1
```

> Which formula does entry 3 have?

YFeNO2